# PmBi (GGA-PBE, optimized geometry)
data_PmBi
_space_group_name_H-M_alt 'P 1'
_space_group_IT_number 1
_cell_length_a 3.968
_cell_length_b 3.968
_cell_length_c 3.968
_cell_angle_alpha 90.00
_cell_angle_beta 90.00
_cell_angle_gamma 90.00
loop_
_space_group_symop_operation_xyz
'x,y,z'
loop_
_atom_site_label
_atom_site_type_symbol
_atom_site_fract_x
_atom_site_fract_y
_atom_site_fract_z
_atom_site_occupancy
Pm1 Pm 0.000 0.000 0.000 1
Bi1 Bi 0.500 0.500 0.500 1
# Energy relative to the elements   -0.6742 eV per atom
# E above lowest polymorph   267 meV per atom
# DFT total energy   -9.98 eV per cell
# Fermi-level density of states   1.51 states/eV per atom